Material: Ti2AlCoH
Method: DFT, PBE-GGA
State: relaxed

abc: 4.0173 4.0173 3.6946
angles: 90.00 90.00 90.00
Positions (direct):
Ti 0.0000 0.5000 0.0000
Ti 0.5000 0.0000 0.0000
Al 0.0000 0.0000 0.5000
Co 0.5000 0.5000 0.5000
H 0.5000 0.5000 0.0000

total magnetization: 0.19 μB per formula unit
crystal system: tetragonal
SG: No. 123
E_tot: -31.854 eV per cell